LiMgCd4 meta-GGA SCAN single point on PBEsol structure; space group = F-43m (216)
1.0
5.6541 0.0000 0.0000
2.8271 4.8966 0.0000
2.8271 1.6322 4.6166
Cd Li Mg
4 1 1
Cartesian
5.6541 4.8942 1.7321
7.0655 2.4495 1.7321
5.6541 3.2644 4.0369
4.2427 2.4495 1.7321
8.4812 4.8966 3.4624
0.0000 0.0000 0.0000

Li3MgCd meta-GGA SCAN single point on PBEsol structure; space group = Pm-3m (221)
1.0
-1.0348 -2.4188 4.1736
4.4576 1.1520 1.7729
-1.8438 4.1428 1.9438
Mg Cd Li
1 1 3
Cartesian
0.7895 1.4380 3.9451
0.0000 0.0000 0.0000
-0.5174 -1.2094 2.0868
-0.9219 2.0714 0.9719
2.2288 0.5760 0.8865

Calculated total energy (eV/cell), listed in the same order as above: -129.74; -41.78